1.
Crystalline Dy2ErMg6 at its relaxed geometry. Source: Alexandria, functional PBE.

abc: 9.055 9.055 3.280
angles: 90.21 90.21 59.92
Positions (direct):
Dy 0.167 0.167 0.000
Dy 0.833 0.833 0.000
Er 0.500 0.500 0.000
Mg 0.167 0.500 0.500
Mg 0.168 0.832 0.500
Mg 0.500 0.167 0.500
Mg 0.500 0.833 0.500
Mg 0.832 0.168 0.500
Mg 0.833 0.500 0.500

- Calculated formation energy: -0.6 eV per formula unit
- Space-group type: No. 12


2.
Crystalline V2GaNi at its relaxed geometry. Source: Alexandria, functional PBE.

abc: 3.937 3.158 8.447
angles: 90.00 94.10 90.00
Positions (direct):
V 0.018 0.250 0.119
V 0.479 0.250 0.872
V 0.521 0.750 0.128
V 0.982 0.750 0.881
Ga 0.062 0.750 0.372
Ga 0.938 0.250 0.628
Ni 0.440 0.750 0.631
Ni 0.560 0.250 0.369

- Calculated formation energy: -0.9 eV per formula unit
- Space-group type: No. 11


3.
Crystalline Co2AgMoPb at its relaxed geometry. Source: Alexandria, functional PBE.

abc: 4.478 4.478 5.333
angles: 90.00 90.00 90.00
Positions (direct):
Co 0.000 0.500 0.000
Co 0.500 0.000 0.000
Ag 0.000 0.000 0.500
Mo 0.500 0.500 0.000
Pb 0.500 0.500 0.500

- Calculated formation energy: 6.5 eV per formula unit
- Space-group type: No. 123


4.
Crystalline UTaV2 at its relaxed geometry. Source: Alexandria, functional PBE.

abc: 4.546 4.546 4.546
angles: 60.00 60.00 60.00
Positions (direct):
U 0.000 0.000 0.000
Ta 0.500 0.500 0.500
V 0.250 0.250 0.250
V 0.750 0.750 0.750

- Polymorph energy (0 for the lowest one): 0.0 meV per atom
- Calculated formation energy: 0.7 eV per formula unit
- Space-group type: No. 225


5.
Crystalline Er2Si3Ir2 at its relaxed geometry. Source: Alexandria, functional PBE.

abc: 8.897 8.897 6.961
angles: 90.00 90.00 153.67
Positions (direct):
Er 0.058 0.942 0.750
Er 0.155 0.845 0.250
Er 0.845 0.155 0.750
Er 0.942 0.058 0.250
Si 0.227 0.773 0.750
Si 0.439 0.561 0.572
Si 0.439 0.561 0.928
Si 0.561 0.439 0.072
Si 0.561 0.439 0.428
Si 0.773 0.227 0.250
Ir 0.309 0.691 0.049
Ir 0.309 0.691 0.451
Ir 0.691 0.309 0.549
Ir 0.691 0.309 0.951

- ΔE_f (raw): -0.922 eV per atom
- Space-group type: No. 63


6.
Crystalline ReIrW2 at its relaxed geometry. Source: Alexandria, functional PBE.

abc: 2.726 4.044 5.662
angles: 90.00 93.57 90.00
Positions (direct):
Re 0.000 0.000 0.000
Ir 0.449 0.500 0.750
W 0.425 0.500 0.245
W 0.901 0.000 0.517

- Calculated formation energy: 0.2 eV per formula unit
- Space-group type: No. 6


| no. | VASP energy (eV per cell) | magnetic moment (μB per formula unit) | calculated density (g/cm3) |
| --- | --- | --- | --- |
| 1 | -23.92 | 0.000 | 4.6 |
| 2 | -55.90 | 0.000 | 7.3 |
| 3 | -25.14 | 1.117 | 8.2 |
| 4 | -40.71 | 0.000 | 13.0 |
| 5 | -99.14 | 0.000 | 10.9 |
| 6 | -46.99 | 0.000 | 19.9 |